(1)
A plane-wave DFT calculation with PBE was carried out for La2TmInC after structural relaxation.

a b c (Å): 4.8851 5.2491 5.2491
angles (deg): 90.00 90.00 90.00
Atoms (fractional coordinates):
1 C 0.0000 0.0000 0.0000
2 Tm 0.5000 0.0000 0.0000
3 La 0.0000 0.0000 0.5000
4 La 0.0000 0.5000 0.0000
5 In 0.5000 0.5000 0.5000

**Total energy**: -5.6212 eV/atom

(2)
A plane-wave DFT calculation with PBE was carried out for La2InWC after structural relaxation.

a b c (Å): 5.3778 5.3778 4.1372
angles (deg): 90.00 90.00 90.00
Atoms (fractional coordinates):
1 C 0.0000 0.0000 0.0000
2 In 0.5000 0.5000 0.5000
3 La 0.5000 0.0000 0.0000
4 La 0.0000 0.5000 0.0000
5 W 0.0000 0.0000 0.5000

**Total energy**: -7.0040 eV/atom

(3)
A plane-wave DFT calculation with PBE was carried out for LaY2InC after structural relaxation.

a b c (Å): 4.9815 4.9815 5.1802
angles (deg): 90.00 90.00 90.00
Atoms (fractional coordinates):
1 Y 0.0000 0.5000 0.0000
2 Y 0.5000 0.0000 0.0000
3 In 0.5000 0.5000 0.5000
4 La 0.0000 0.0000 0.5000
5 C 0.0000 0.0000 0.0000

**Total energy**: -6.3955 eV/atom

(4)
A plane-wave DFT calculation with PBE was carried out for LiIn2C after structural relaxation.

a b c (Å): 6.4459 6.4459 6.3275
angles (deg): 59.38 59.38 90.00
Atoms (fractional coordinates):
1 In 0.3750 0.2871 0.7500
2 In 0.0371 0.6250 0.2500
3 Li 0.5000 0.5000 0.0000
4 In 0.8750 0.9629 0.7500
5 In 0.7129 0.1250 0.2500
6 C 0.0000 0.0000 0.0000
7 Li 0.2500 0.7500 0.5000
8 C 0.7500 0.2500 0.5000

**Total energy**: -3.3996 eV/atom

(5)
A plane-wave DFT calculation with PBE was carried out for LiInC after structural relaxation.

a b c (Å): 3.7465 3.7465 6.6089
angles (deg): 90.00 90.00 120.00
Atoms (fractional coordinates):
1 C 0.3333 0.6667 0.3976
2 In 0.6667 0.3333 0.5406
3 Li 0.0000 0.0000 0.8118
4 Li 0.0000 0.0000 0.3118
5 C 0.6667 0.3333 0.8976
6 In 0.3333 0.6667 0.0406

**Total energy**: -4.0955 eV/atom

(6)
A plane-wave DFT calculation with PBE was carried out for LiInC after structural relaxation.

a b c (Å): 7.9517 3.7873 3.8689
angles (deg): 101.30 90.11 89.36
Atoms (fractional coordinates):
1 Li 0.2991 0.6890 0.8096
2 Li 0.4922 0.3586 0.1266
3 In 0.9593 0.4224 0.0606
4 C 0.4101 0.8878 0.3427
5 In 0.7341 0.9312 0.5572
6 C 0.4122 0.1479 0.6054

**Total energy**: -4.4196 eV/atom

(7)
A plane-wave DFT calculation with PBE was carried out for LiInC after structural relaxation.

a b c (Å): 3.7546 3.7546 4.1356
angles (deg): 90.00 90.00 120.00
Atoms (fractional coordinates):
1 In 0.0000 0.0000 0.0000
2 Li 0.6667 0.3333 0.5000
3 C 0.3333 0.6667 0.0000

**Total energy**: -3.8628 eV/atom

(8)
A plane-wave DFT calculation with PBE was carried out for LiInC after structural relaxation.

a b c (Å): 12.5818 3.6467 3.6467
angles (deg): 119.96 125.57 54.43
Atoms (fractional coordinates):
1 In 0.2164 0.1208 0.8792
2 C 0.5992 0.2770 0.7230
3 Li 0.6903 0.4892 0.5108
4 Li 0.4766 0.1084 0.8916
5 In 0.9750 0.7753 0.2247
6 C 0.7357 0.0950 0.9050

**Total energy**: -4.4334 eV/atom

(9)
A plane-wave DFT calculation with PBE was carried out for LiInC after structural relaxation.

a b c (Å): 6.1127 3.5439 6.9571
angles (deg): 90.00 90.00 90.00
Atoms (fractional coordinates):
1 Li 0.8804 0.7500 0.0681
2 Li 0.1196 0.2500 0.9319
3 In 0.9347 0.7500 0.6785
4 C 0.2455 0.2500 0.6258
5 Li 0.3804 0.7500 0.4319
6 C 0.2545 0.7500 0.1258
7 C 0.7455 0.2500 0.8742
8 Li 0.6196 0.2500 0.5681
9 C 0.7545 0.7500 0.3742
10 In 0.4347 0.7500 0.8215
11 In 0.0653 0.2500 0.3215
12 In 0.5653 0.2500 0.1785

**Total energy**: -3.8797 eV/atom

(10)
A plane-wave DFT calculation with PBE was carried out for LiInC after structural relaxation.

a b c (Å): 9.3793 3.8652 3.8652
angles (deg): 127.88 104.11 75.89
Atoms (fractional coordinates):
1 In 0.1415 0.0845 0.9155
2 In 0.8585 0.9155 0.0845
3 C 0.4502 0.9536 0.0464
4 Li 0.6024 0.3182 0.6818
5 C 0.5498 0.0464 0.9536
6 Li 0.3976 0.6818 0.3182

**Total energy**: -4.4323 eV/atom

(11)
A plane-wave DFT calculation with PBE was carried out for LiInC after structural relaxation.

a b c (Å): 10.7929 10.7929 2.6944
angles (deg): 90.00 90.00 162.52
Atoms (fractional coordinates):
1 Li 0.4388 0.5612 0.7500
2 C 0.0112 0.9888 0.7500
3 In 0.8135 0.1865 0.7500
4 C 0.9888 0.0112 0.2500
5 In 0.1865 0.8135 0.2500
6 Li 0.5612 0.4388 0.2500

**Total energy**: -4.4148 eV/atom

(12)
A plane-wave DFT calculation with PBE was carried out for LiInC after structural relaxation.

a b c (Å): 22.4670 6.4178 6.4178
angles (deg): 149.73 159.85 20.15
Atoms (fractional coordinates):
1 Li 0.2458 0.4057 0.5943
2 In 0.7529 0.8476 0.1524
3 Li 0.7542 0.5943 0.4057
4 C 0.5491 0.3667 0.6333
5 In 0.2471 0.1524 0.8476
6 C 0.4509 0.6333 0.3667

**Total energy**: -4.4267 eV/atom

(13)
A plane-wave DFT calculation with PBE was carried out for Li2InC after structural relaxation.

a b c (Å): 3.6778 3.6778 8.7486
angles (deg): 77.87 77.87 90.00
Atoms (fractional coordinates):
1 C 0.5000 0.5000 0.0000
2 In 0.0000 0.0000 0.0000
3 C 0.2500 0.7500 0.5000
4 Li 0.3750 0.7890 0.7500
5 Li 0.2110 0.1250 0.2500
6 Li 0.8750 0.4610 0.7500
7 In 0.7500 0.2500 0.5000
8 Li 0.5390 0.6250 0.2500

**Energy relative to the lowest polymorph listed for this composition**: 22 meV per atom

(14)
A plane-wave DFT calculation with PBE was carried out for LiInC after structural relaxation.

a b c (Å): 4.3497 4.3497 5.1963
angles (deg): 90.00 90.00 94.20
Atoms (fractional coordinates):
1 C 0.7500 0.2500 0.2982
2 Li 0.7500 0.7500 0.5000
3 C 0.2500 0.7500 0.7018
4 In 0.0000 0.5000 0.0000
5 In 0.5000 0.0000 0.0000
6 Li 0.2500 0.2500 0.5000

**Total energy**: -3.8228 eV/atom

(15)
A plane-wave DFT calculation with PBE was carried out for Li2InC after structural relaxation.

a b c (Å): 4.2160 4.2160 4.2160
angles (deg): 60.00 60.00 60.00
Atoms (fractional coordinates):
1 Li 0.2500 0.2500 0.2500
2 C 0.0000 0.0000 0.0000
3 In 0.5000 0.5000 0.5000
4 Li 0.7500 0.7500 0.7500

**Energy relative to the lowest polymorph listed for this composition**: 0 meV per atom

(16)
A plane-wave DFT calculation with PBE was carried out for LiInC after structural relaxation.

a b c (Å): 6.2549 3.8465 6.8227
angles (deg): 90.00 90.00 90.00
Atoms (fractional coordinates):
1 In 0.8478 0.7500 0.8935
2 In 0.1522 0.2500 0.1065
3 Li 0.9976 0.7500 0.3696
4 In 0.3478 0.7500 0.6065
5 C 0.2642 0.2500 0.4272
6 C 0.7642 0.2500 0.0728
7 Li 0.4976 0.7500 0.1304
8 Li 0.5024 0.2500 0.8696
9 C 0.2358 0.7500 0.9272
10 C 0.7358 0.7500 0.5728
11 In 0.6522 0.2500 0.3935
12 Li 0.0024 0.2500 0.6304

**Total energy**: -4.0172 eV/atom

(17)
A plane-wave DFT calculation with PBE was carried out for LiInC after structural relaxation.

a b c (Å): 6.8593 6.8593 6.8593
angles (deg): 40.64 40.64 40.64
Atoms (fractional coordinates):
1 In 0.1519 0.1519 0.1519
2 C 0.0333 0.0333 0.0333
3 In 0.8481 0.8481 0.8481
4 Li 0.4118 0.4118 0.4118
5 C 0.9667 0.9667 0.9667
6 Li 0.5882 0.5882 0.5882

**Total energy**: -4.3026 eV/atom

(18)
A plane-wave DFT calculation with PBE was carried out for LiInC after structural relaxation.

a b c (Å): 3.5014 3.5014 9.0882
angles (deg): 90.00 90.00 120.00
Atoms (fractional coordinates):
1 C 0.0000 0.0000 0.5738
2 Li 0.6667 0.3333 0.5000
3 C 0.0000 0.0000 0.4262
4 In 0.3333 0.6667 0.7447
5 Li 0.6667 0.3333 0.0000
6 In 0.3333 0.6667 0.2553

**Total energy**: -4.3407 eV/atom

(19)
A plane-wave DFT calculation with PBE was carried out for LiInC after structural relaxation.

a b c (Å): 3.3805 3.2622 9.0301
angles (deg): 90.00 90.00 90.00
Atoms (fractional coordinates):
1 In 0.5000 0.5000 0.7324
2 In 0.0000 0.0000 0.9789
3 Li 0.0000 0.5000 0.4605
4 Li 0.5000 0.5000 0.2182
5 C 0.5000 0.0000 0.5293
6 C 0.5000 0.0000 0.3876

**Total energy**: -4.3896 eV/atom

(20)
A plane-wave DFT calculation with PBE was carried out for LiInC after structural relaxation.

a b c (Å): 4.7073 4.7073 4.2370
angles (deg): 90.00 90.00 90.00
Atoms (fractional coordinates):
1 In 0.5000 0.5000 0.5000
2 C 0.0000 0.5000 0.5495
3 C 0.5000 0.0000 0.4505
4 In 0.0000 0.0000 0.5000
5 Li 0.5000 0.0000 0.9606
6 Li 0.0000 0.5000 0.0394

**Total energy**: -3.8587 eV/atom

These records have DOS(E_F) values of 0.59, 1.19, 0.46, 0.72, 0.00, 0.19, 0.11, 0.14, 0.13, 0.27, 0.35, 0.25, 0.36, 0.04, 0.36, 0.00, 0.01, 0.25, 0.26, 0.21 states/eV per atom, in the order they appear.